# Mn2NbO2 | Alexandria via LeMat-Bulk | GGA+U | relaxed
# - excess energy over the best structure of this formula in the dataset (meV/atom) = 461
# - calculated volume (Å³ per atom) = 13.01
# - calculated density (g cm⁻³) = 6.0
# - uncorrected energy (eV/atom) = -6.94
data_Mn2NbO2
_chemical_formula_sum 'Mn4 Nb2 O4'
_cell_length_a 6.824
_cell_length_b 6.824
_cell_length_c 2.793
_cell_angle_alpha 90.00
_cell_angle_beta 90.00
_cell_angle_gamma 90.00
_symmetry_space_group_name_H-M 'P 4/m b m'
_symmetry_Int_Tables_number 127
_symmetry_space_group_name_Hall '-P 4 2ab'
loop_
_atom_site_label
_atom_site_type_symbol
_atom_site_fract_x
_atom_site_fract_y
_atom_site_fract_z
_atom_site_occupancy
Mn1 Mn 0.143 0.357 0.000 1
Nb1 Nb 0.000 0.000 0.000 1
O1 O 0.152 0.652 0.500 1